No. 1
The following is a PBE-GGA calculation of BaTlRh2 after structural relaxation, from Alexandria.

a = 3.434 Å, b = 3.615 Å, c = 7.201 Å
α = 90.00°, β = 90.00°, γ = 90.00°
Space group Pmmm (No. 47)
One atom of each set of equivalent atoms:
Ba: 0.000 0.000 0.000 (multiplicity 1)
Tl: 0.000 0.000 0.500 (multiplicity 1)
Rh: 0.500 0.500 0.302 (multiplicity 2)

DOS(E_F) = 0.588 states/eV per atom
DFT formation energy = 0.101 eV per atom

No. 2
The following is a PBE-GGA calculation of YW after structural relaxation, from Alexandria.

a = 3.511 Å, b = 3.511 Å, c = 3.511 Å
α = 90.00°, β = 90.00°, γ = 90.00°
Space group Pm-3m (No. 221)
One atom of each set of equivalent atoms:
Y: 0.000 0.000 0.000 (multiplicity 1)
W: 0.500 0.500 0.500 (multiplicity 1)

Excess energy over the best structure of this formula in the dataset = 696.1 meV per atom
DOS(E_F) = 2.176 states/eV per atom
DFT formation energy = 0.944 eV per atom

No. 3
The following is a PBE-GGA calculation of K2B2PdO6 after structural relaxation, from Alexandria.

a = 5.2008 Å, b = 5.2008 Å, c = 17.8042 Å
α = 90.00°, β = 90.00°, γ = 120.00°
Space group R-3m (No. 166, hexagonal axes)
One atom of each set of equivalent atoms:
K: 0.0000 0.0000 0.2070 (multiplicity 6)
B: 0.0000 0.0000 0.3946 (multiplicity 6)
Pd: 0.0000 0.0000 0.0000 (multiplicity 3)
O: 0.0258 0.5129 0.2637 (multiplicity 18)

DOS(E_F) = 0.429 states/eV per atom
Uncorrected formation energy = -17.91 eV/f.u.

No. 4
The following is a PBE-GGA calculation of MgGa2FeI after structural relaxation, from Alexandria.

a = 5.842 Å, b = 5.842 Å, c = 4.725 Å
α = 90.00°, β = 90.00°, γ = 90.00°
Space group P4/mmm (No. 123)
One atom of each set of equivalent atoms:
Mg: 0.000 0.000 0.000 (multiplicity 1)
Ga: 0.000 0.500 0.500 (multiplicity 2)
Fe: 0.500 0.500 0.000 (multiplicity 1)
I: 0.500 0.500 0.500 (multiplicity 1)

DOS(E_F) = 1.206 states/eV per atom
Uncorrected formation energy = 4.81 eV/f.u.